No. 1
Density functional theory data (PBE) for a relaxed structure of AcTcGe2.

Cell lengths 6.0473, 6.0119, 6.3763 Å; angles 105.31, 105.54, 115.94 degrees
Last column: nearest neighbours and their distance in Å.
Fractional positions:
1 Ac 0.8783 0.6283 0.7565  2 Tc 3.18, 8 Ge 3.26-3.51
2 Ac 0.1217 0.3717 0.2435  2 Tc 3.18, 8 Ge 3.26-3.51
3 Ge 0.2888 0.3574 0.7769  2 Tc 2.48-2.52, 1 Ge 2.69
4 Ge 0.4882 0.9195 0.7769  2 Tc 2.48-2.52, 1 Ge 2.69
5 Ge 0.7112 0.6426 0.2231  2 Tc 2.48-2.52, 1 Ge 2.69
6 Ge 0.5118 0.0805 0.2231  2 Tc 2.48-2.52, 1 Ge 2.69
7 Tc 0.7830 0.0330 0.5660  4 Ge 2.48-2.52
8 Tc 0.2170 0.9670 0.4340  4 Ge 2.48-2.52

Results
Calculated formation energy: -10.655 kcal/mol of atoms
E: -6.389 eV per atom
Relative energy among the computed polymorphs: 0 meV per atom


No. 2
Density functional theory data (PBE) for a relaxed structure of Ga3Se.

Cell lengths 4.4011, 4.4011, 4.4011 Å; angles 90.00, 90.00, 90.00 degrees
Last column: nearest neighbours and their distance in Å.
Fractional positions:
1 Se 0.0000 0.0000 0.0000  12 Ga 3.11
2 Ga 0.0000 0.5000 0.5000  4 Se 3.11, 8 Ga 3.11
3 Ga 0.5000 0.0000 0.5000  8 Ga 3.11, 4 Se 3.11
4 Ga 0.5000 0.5000 0.0000  4 Se 3.11, 8 Ga 3.11

Results
E: -3.190 eV per atom
ΔE_f (raw): -0.049 eV per atom


No. 3
Density functional theory data (PBE) for a relaxed structure of Li2ZnTcBi.

Cell lengths 5.1710, 5.4331, 5.1710 Å; angles 90.00, 90.00, 90.00 degrees
Last column: nearest neighbours and their distance in Å.
Fractional positions:
1 Li 0.0000 0.0000 0.5000  2 Bi 2.59
2 Li 0.5000 0.0000 0.0000  2 Bi 2.59
3 Tc 0.0000 0.5000 0.0000  2 Bi 2.72
4 Zn 0.5000 0.5000 0.5000  4 Tc 3.66, 8 Li 3.75
5 Bi 0.0000 0.0000 0.0000  4 Li 2.59, 2 Tc 2.72

Results
Calculated formation energy: 18.422 kcal/mol of atoms
E: -3.071 eV per atom


No. 4
Density functional theory data (PBE) for a relaxed structure of Ho5P2Se2.

Cell lengths 7.5143, 8.0591, 8.0591 Å; angles 124.73, 90.00, 90.00 degrees
Last column: nearest neighbours and their distance in Å.
Fractional positions:
1 Ho 0.3437 0.9728 0.7120  3 P 2.80-2.94, 3 Se 2.95-3.00
2 Ho 0.6563 0.2880 0.0272  3 P 2.80-2.94, 3 Se 2.95-3.00
3 Ho 0.1563 0.4728 0.2120  3 P 2.80-2.94, 3 Se 2.95-3.00
4 Ho 0.0000 0.0000 0.0000  2 Se 2.85, 4 P 2.86-2.89
5 Ho 0.8437 0.5272 0.7880  3 P 2.80-2.94, 3 Se 2.95-3.00
6 Ho 0.6563 0.0272 0.2880  3 P 2.80-2.94, 3 Se 2.95-3.00
7 Ho 0.8437 0.7880 0.5272  3 P 2.80-2.94, 3 Se 2.95-3.00
8 Ho 0.5000 0.5000 0.5000  2 Se 2.85, 4 P 2.86-2.89
9 Ho 0.3437 0.7120 0.9728  3 P 2.80-2.94, 3 Se 2.95-3.00
10 Ho 0.1563 0.2120 0.4728  3 P 2.80-2.94, 3 Se 2.95-3.00
11 P 0.3553 0.1469 0.1469  8 Ho 2.80-2.94, 1 P 3.09
12 P 0.8553 0.3531 0.3531  8 Ho 2.80-2.94, 1 P 3.09
13 P 0.6447 0.8531 0.8531  8 Ho 2.80-2.94, 1 P 3.09
14 P 0.1447 0.6469 0.6469  8 Ho 2.80-2.94, 1 P 3.09
15 Se 0.0000 0.1993 0.8007  7 Ho 2.85-3.00
16 Se 0.5000 0.3007 0.6993  7 Ho 2.85-3.00
17 Se 0.0000 0.8007 0.1993  7 Ho 2.85-3.00
18 Se 0.5000 0.6993 0.3007  7 Ho 2.85-3.00

Results
E: -5.892 eV per atom
ΔE_f (raw): -1.372 eV per atom


No. 5
Density functional theory data (PBE) for a relaxed structure of Pm4PrDy2Tm2.

Cell lengths 3.6017, 9.4885, 8.8211 Å; angles 90.03, 90.00, 100.94 degrees
Last column: nearest neighbours and their distance in Å.
Fractional positions:
1 Pm 0.2224 0.4449 0.3317  3 Tm 3.56-3.59, 3 Dy 3.57-3.63, 6 Pm 3.59-3.62
2 Pm 0.4444 0.8888 0.6653  5 Pm 3.58-3.60, 4 Dy 3.61-3.62, 2 Pr 3.61, 1 Tm 3.63
3 Pm 0.7776 0.5551 0.6683  3 Tm 3.56-3.59, 3 Dy 3.57-3.63, 6 Pm 3.59-3.62
4 Pm 0.5556 0.1112 0.3347  5 Pm 3.58-3.60, 4 Dy 3.61-3.62, 2 Pr 3.61, 1 Tm 3.63
5 Tm 0.3315 0.6630 0.0010  4 Tm 3.53-3.60, 4 Pm 3.56-3.63, 2 Dy 3.57, 2 Pr 3.62
6 Tm 0.6685 0.3370 0.9990  4 Tm 3.53-3.60, 4 Pm 3.56-3.63, 2 Dy 3.57, 2 Pr 3.62
7 Pr 0.0000 0.0000 0.0000  2 Dy 3.58, 2 Pr 3.60, 4 Pm 3.61, 4 Tm 3.62
8 Dy 0.1121 0.2242 0.6702  7 Pm 3.57-3.63, 2 Tm 3.57, 1 Pr 3.58, 2 Dy 3.60
9 Dy 0.8879 0.7758 0.3298  7 Pm 3.57-3.63, 2 Tm 3.57, 1 Pr 3.58, 2 Dy 3.60

Results
Calculated formation energy: 0.439 kcal/mol of atoms
E: -4.640 eV per atom


No. 6
Density functional theory data (PBE) for a relaxed structure of Ca2CuSi.

Cell lengths 4.9132, 4.9132, 4.9132 Å; angles 60.00, 60.00, 60.00 degrees
Last column: nearest neighbours and their distance in Å.
Fractional positions:
1 Ca 0.2500 0.2500 0.2500  4 Ca 3.01, 4 Cu 3.01
2 Ca 0.0000 0.0000 0.0000  4 Ca 3.01, 4 Si 3.01
3 Cu 0.5000 0.5000 0.5000  4 Ca 3.01, 4 Si 3.01
4 Si 0.7500 0.7500 0.7500  4 Cu 3.01, 4 Ca 3.01

Results
E: -3.312 eV per atom
ΔE_f (raw): 0.069 eV per atom


No. 7
Density functional theory data (PBE) for a relaxed structure of Ir2PtPb.

Cell lengths 4.9314, 4.9314, 4.9314 Å; angles 130.54, 130.54, 72.55 degrees
Last column: nearest neighbours and their distance in Å.
Fractional positions:
1 Ir 0.2500 0.7500 0.5000  4 Ir 2.86, 4 Pb 2.86, 4 Pt 2.92
2 Ir 0.0000 0.0000 0.0000  4 Ir 2.86, 4 Pt 2.86, 4 Pb 2.92
3 Pt 0.7500 0.2500 0.5000  8 Ir 2.86-2.92, 4 Pb 2.86
4 Pb 0.5000 0.5000 0.0000  4 Pt 2.86, 8 Ir 2.86-2.92

Results
Calculated formation energy: 9.434 kcal/mol of atoms
E: -6.459 eV per atom


No. 8
Density functional theory data (PBE) for a relaxed structure of TiCdGaF6.

Cell lengths 5.8853, 5.8178, 5.1182 Å; angles 90.30, 90.11, 60.33 degrees
Last column: nearest neighbours and their distance in Å.
Fractional positions:
1 F 0.3582 0.6001 0.2950  1 Ti 1.94
2 F 0.6203 0.0314 0.2867  1 Ti 2.05, 1 Cd 2.29
3 F 0.0366 0.6088 0.7125  1 Ti 2.00
4 F 0.3580 0.0420 0.7051  1 Ti 1.94
5 F 0.6202 0.3481 0.7130  1 Ti 2.05, 1 Cd 2.29
6 F 0.0371 0.3548 0.2877  1 Ti 2.00
7 Ga 0.9662 0.0166 0.9999  4 F 2.48-2.65
8 Ti 0.3315 0.3343 0.4999  6 F 1.94-2.05
9 Cd 0.6718 0.6640 0.5001  6 F 2.28-2.31

Results
E: -5.086 eV per atom
ΔE_f (raw): -2.524 eV per atom


No. 9
Density functional theory data (PBE) for a relaxed structure of KPaAgSe3.

Cell lengths 4.2302, 9.0134, 9.7798 Å; angles 107.57, 90.00, 90.00 degrees
Last column: nearest neighbours and their distance in Å.
Fractional positions:
1 K 0.7500 0.7906 0.7463  7 Se 3.44-3.54
2 K 0.2500 0.2094 0.2537  7 Se 3.44-3.54
3 Se 0.2500 0.5425 0.8481  3 Pa 2.90-2.91
4 Se 0.7500 0.2432 0.5408  3 Ag 2.71-2.82, 1 Pa 2.82
5 Se 0.2500 0.1168 0.8751  1 Ag 2.66, 2 Pa 2.88
6 Se 0.7500 0.8832 0.1249  1 Ag 2.66, 2 Pa 2.88
7 Se 0.2500 0.7568 0.4592  3 Ag 2.71-2.82, 1 Pa 2.82
8 Se 0.7500 0.4575 0.1519  3 Pa 2.90-2.91
9 Pa 0.7500 0.3204 0.8422  6 Se 2.82-2.91
10 Pa 0.2500 0.6796 0.1578  6 Se 2.82-2.91
11 Ag 0.2500 0.0810 0.5953  4 Se 2.66-2.82, 2 Ag 2.90
12 Ag 0.7500 0.9190 0.4047  4 Se 2.66-2.82, 2 Ag 2.90

Results
E: -5.093 eV per atom
ΔE_f (raw): -1.110 eV per atom


No. 10
Density functional theory data (PBE) for a relaxed structure of AgRhSe2.

Cell lengths 6.0107, 6.0107, 6.0107 Å; angles 146.14, 135.92, 56.71 degrees
Last column: nearest neighbours and their distance in Å.
Fractional positions:
1 Se 0.0861 0.0861 0.0000  2 Rh 2.46
2 Se 0.4139 0.4139 0.0000  2 Rh 2.46
3 Ag 0.7500 0.2500 0.5000  4 Se 2.85, 4 Rh 2.85
4 Rh 0.2500 0.7500 0.5000  4 Se 2.46

Results
E: -4.351 eV per atom
ΔE_f (raw): -0.058 eV per atom


No. 11
Density functional theory data (PBE) for a relaxed structure of Ba4NiHg.

Cell lengths 7.9057, 8.3123, 9.5516 Å; angles 72.94, 65.57, 90.00 degrees
Last column: nearest neighbours and their distance in Å.
Fractional positions:
1 Ba 0.2162 0.1461 0.6793  2 Ni 3.24-3.31
2 Ba 0.7838 0.8539 0.3207  2 Ni 3.24-3.31
3 Ba 0.1049 0.6461 0.6793  2 Ni 3.24-3.31
4 Ba 0.5356 0.4879 0.7891  1 Ni 2.86
5 Ba 0.6756 0.9876 0.7894  1 Ni 2.86
6 Ba 0.4644 0.5121 0.2109  1 Ni 2.86
7 Ba 0.3244 0.0124 0.2106  1 Ni 2.86
8 Ba 0.8951 0.3539 0.3207  2 Ni 3.24-3.31
9 Hg 0.2103 0.7499 0.9998  8 Ba 3.61-3.81
10 Hg 0.7897 0.2501 0.0002  8 Ba 3.61-3.81
11 Ni 0.5000 0.5000 0.5000  2 Ba 2.86
12 Ni 0.0000 0.0000 0.5000  2 Ba 2.86

Results
Calculated formation energy: -2.162 kcal/mol of atoms
E: -2.389 eV per atom
Relative energy among the computed polymorphs: 0 meV per atom


No. 12
Density functional theory data (PBE) for a relaxed structure of Cu3PtBr9.

Cell lengths 8.2362, 10.3272, 11.4177 Å; angles 74.30, 68.86, 66.50 degrees
Last column: nearest neighbours and their distance in Å.
Fractional positions:
1 Br 0.4124 0.8073 0.4454  1 Cu 2.46, 1 Pt 2.54
2 Br 0.9215 0.4226 0.8445  1 Cu 2.41, 1 Pt 2.55
3 Br 0.3349 0.3073 0.9454  1 Cu 2.46, 1 Pt 2.54
4 Br 0.1478 0.6742 0.8230  1 Cu 2.40, 1 Pt 2.54
5 Br 0.8114 0.9226 0.3445  1 Cu 2.41, 1 Pt 2.55
6 Br 0.0584 0.5554 0.5064  2 Cu 2.37-2.41
7 Br 0.4654 0.5151 0.3212  2 Cu 2.36-2.41
8 Br 0.1041 0.5713 0.1556  1 Cu 2.46, 1 Pt 2.54
9 Br 0.7080 0.6951 0.0377  1 Cu 2.42, 1 Pt 2.53
10 Br 0.8798 0.0554 0.0064  2 Cu 2.37-2.41
11 Br 0.8994 0.3198 0.1755  1 Cu 2.45, 1 Pt 2.54
12 Br 0.6983 0.0151 0.8212  2 Cu 2.36-2.41
13 Br 0.5592 0.1951 0.5377  1 Cu 2.42, 1 Pt 2.53
14 Br 0.1690 0.0713 0.6556  1 Cu 2.46, 1 Pt 2.54
15 Br 0.6124 0.4596 0.6243  2 Cu 2.37-2.38
16 Br 0.3550 0.1742 0.3230  1 Cu 2.40, 1 Pt 2.54
17 Br 0.6053 0.8198 0.6755  1 Cu 2.45, 1 Pt 2.54
18 Br 0.3037 0.9596 0.1243  2 Cu 2.37-2.38
19 Pt 0.4865 0.9979 0.4971  6 Br 2.53-2.55
20 Pt 0.0185 0.4979 0.9971  6 Br 2.53-2.55
21 Cu 0.7807 0.5640 0.6789  4 Br 2.38-2.45
22 Cu 0.4706 0.7492 0.2357  4 Br 2.36-2.46
23 Cu 0.0121 0.9258 0.8325  4 Br 2.37-2.46
24 Cu 0.9765 0.0640 0.1789  4 Br 2.38-2.45
25 Cu 0.2296 0.4258 0.3325  4 Br 2.37-2.46
26 Cu 0.5445 0.2492 0.7357  4 Br 2.36-2.46

Results
E: -2.797 eV per atom
ΔE_f (raw): -0.229 eV per atom